Here is a geometry-optimized Tb2Ho2Tl5 structure from Alexandria. Energies are from PBE-GGA.

Properties
The space group is Cmce.

Unit cell a=8.144 b=8.052 c=8.998 alpha=116.58 beta=90.00 gamma=90.00
Fractional coordinates of all 18 atoms:
Tl: 0.000 0.000 0.000
Tl: 0.146 0.487 0.271
Tl: 0.854 0.513 0.729
Tl: 0.500 0.500 0.000
Tl: 0.354 0.717 0.729
Tl: 0.854 0.783 0.271
Tl: 0.354 0.987 0.271
Tl: 0.646 0.283 0.271
Tl: 0.646 0.013 0.729
Tl: 0.146 0.217 0.729
Tb: 0.000 0.200 0.399
Tb: 0.000 0.800 0.601
Tb: 0.500 0.700 0.399
Tb: 0.500 0.300 0.601
Ho: 0.656 0.847 0.000
Ho: 0.344 0.153 0.000
Ho: 0.844 0.347 0.000
Ho: 0.156 0.653 0.000

=====

Here is a geometry-optimized Tb3HoTl structure from Alexandria. Energies are from PBE-GGA.

Properties
The calculation puts the energy above the most stable polymorph in this dataset at 6.5 kJ per mole of atoms. The space group is Pmmn.

Unit cell a=5.354 b=6.865 c=8.537 alpha=90.03 beta=90.00 gamma=90.00
Fractional coordinates of all 10 atoms:
Tl: 0.876 0.684 0.201
Tl: 0.376 0.669 0.701
Ho: 0.876 0.114 0.201
Ho: 0.376 0.239 0.701
Tb: 0.376 0.906 0.008
Tb: 0.376 0.386 0.201
Tb: 0.876 0.447 0.894
Tb: 0.876 0.446 0.508
Tb: 0.376 0.906 0.394
Tb: 0.876 0.967 0.701

=====

Here is a geometry-optimized TbHo3Tl6 structure from Alexandria. Energies are from PBE-GGA.

Properties
The space group is R3m.

Unit cell a=5.230 b=8.613 c=8.613 alpha=116.01 beta=101.68 gamma=101.68
Fractional coordinates of all 10 atoms:
Tl: 0.102 0.776 0.000
Tl: 0.326 0.224 0.224
Tl: 0.934 0.411 0.411
Tl: 0.523 0.589 0.000
Tl: 0.102 0.000 0.776
Tl: 0.523 0.000 0.589
Ho: 0.952 0.000 0.395
Ho: 0.558 0.605 0.605
Ho: 0.952 0.395 0.000
Tb: 0.688 0.000 0.000

=====

Here is a geometry-optimized Tb2HoTl structure from Alexandria. Energies are from PBE-GGA.

Properties
The calculation puts the energy above the most stable polymorph in this dataset at 2.2 kJ per mole of atoms. The space group is P4/mmm.

Unit cell a=3.612 b=3.612 c=9.198 alpha=90.00 beta=90.00 gamma=90.00
Fractional coordinates of all 4 atoms:
Tb: 0.000 0.000 0.231
Tb: 0.000 0.000 0.769
Ho: 0.500 0.500 0.500
Tl: 0.500 0.500 0.000

=====

Here is a geometry-optimized Tb8Ho3Tl structure from Alexandria. Energies are from PBE-GGA.

Properties
The space group is I-42m.

Unit cell a=8.312 b=8.312 c=8.312 alpha=93.98 beta=117.73 gamma=117.73
Fractional coordinates of all 12 atoms:
Ho: 0.500 0.250 0.750
Ho: 0.000 0.500 0.500
Ho: 0.500 0.750 0.250
Tl: 0.000 0.000 0.000
Tb: 0.255 0.384 0.384
Tb: 0.000 0.870 0.616
Tb: 0.000 0.234 0.723
Tb: 0.745 0.130 0.130
Tb: 0.490 0.766 0.766
Tb: 0.510 0.277 0.277
Tb: 0.000 0.616 0.870
Tb: 0.000 0.723 0.234

=====

Here is a geometry-optimized Tb4Ho3Tl4 structure from Alexandria. Energies are from PBE-GGA.

Properties
The space group is Immm.

Unit cell a=3.658 b=9.440 c=10.696 alpha=116.18 beta=99.85 gamma=90.00
Fractional coordinates of all 11 atoms:
Ho: 0.096 0.096 0.193
Ho: 0.904 0.904 0.807
Ho: 0.000 0.500 0.000
Tb: 0.338 0.523 0.676
Tb: 0.662 0.477 0.324
Tb: 0.338 0.153 0.676
Tb: 0.662 0.847 0.324
Tl: 0.500 0.220 0.000
Tl: 0.730 0.230 0.459
Tl: 0.270 0.770 0.541
Tl: 0.500 0.780 0.000

=====

Here is a geometry-optimized Tb3Ho2Tl7 structure from Alexandria. Energies are from PBE-GGA.

Properties
The space group is Cmmm.

Unit cell a=5.415 b=5.268 c=13.035 alpha=101.66 beta=90.00 gamma=90.00
Fractional coordinates of all 12 atoms:
Tl: 0.000 0.721 0.442
Tl: 0.500 0.918 0.836
Tl: 0.000 0.279 0.558
Tl: 0.000 0.000 0.000
Tl: 0.000 0.424 0.848
Tl: 0.500 0.082 0.164
Tl: 0.000 0.576 0.152
Ho: 0.000 0.848 0.696
Ho: 0.000 0.152 0.304
Tb: 0.500 0.654 0.307
Tb: 0.500 0.500 0.000
Tb: 0.500 0.346 0.693

=====

Here is a geometry-optimized TbHo3Tl4 structure from Alexandria. Energies are from PBE-GGA.

Properties
The calculation puts the energy above the most stable polymorph in this dataset at 0.0 kJ per mole of atoms. The space group is P4/mmm.

Unit cell a=3.784 b=3.784 c=15.128 alpha=90.00 beta=90.00 gamma=90.00
Fractional coordinates of all 8 atoms:
Ho: 0.500 0.500 0.251
Ho: 0.500 0.500 0.749
Ho: 0.500 0.500 0.500
Tl: 0.000 0.000 0.624
Tl: 0.000 0.000 0.873
Tl: 0.000 0.000 0.376
Tl: 0.000 0.000 0.127
Tb: 0.500 0.500 0.000

=====

Here is a geometry-optimized TbHo5Tl6 structure from Alexandria. Energies are from PBE-GGA.

Properties
The calculation puts the energy above the most stable polymorph in this dataset at 7.8 kJ per mole of atoms. The space group is C2/m.

Unit cell a=6.528 b=9.795 c=7.437 alpha=48.82 beta=81.68 gamma=77.31
Fractional coordinates of all 12 atoms:
Ho: 0.000 0.666 0.668
Ho: 0.500 0.833 0.333
Ho: 0.000 0.334 0.332
Ho: 0.500 0.500 0.000
Ho: 0.500 0.167 0.667
Tl: 0.749 0.418 0.665
Tl: 0.251 0.582 0.335
Tl: 0.252 0.250 0.000
Tl: 0.749 0.083 0.335
Tl: 0.251 0.917 0.665
Tl: 0.748 0.750 0.000
Tb: 0.000 0.000 0.000

=====

Here is a geometry-optimized Tb4Ho3Tl2 structure from Alexandria. Energies are from PBE-GGA.

Properties
The space group is C2/m.

Unit cell a=5.394 b=6.631 c=10.191 alpha=122.43 beta=90.00 gamma=114.00
Fractional coordinates of all 9 atoms:
Ho: 0.646 0.291 0.679
Ho: 0.354 0.709 0.321
Ho: 0.000 0.000 0.000
Tb: 0.902 0.803 0.572
Tb: 0.268 0.535 0.918
Tb: 0.098 0.197 0.428
Tb: 0.732 0.465 0.082
Tl: 0.585 0.169 0.254
Tl: 0.415 0.831 0.746

=====

For reference, final energy by record: -63.86; -42.24; -31.64; -16.84; -46.86; -44.18; -40.65; -30.52; -44.70; -38.39 eV/cell.